No. 1
The following is a DFT calculation (PBE) of crystalline RePt2Se at its relaxed geometry.

```
RePt2Se
1.0
4.000 0.000 0.000
0.000 4.000 0.000
0.000 0.000 8.041
Re Pt Se
2 4 2
Cartesian
0.000 0.000 0.000 Re
2.000 2.000 4.021 Re
0.000 2.000 2.010 Pt
0.000 2.000 6.031 Pt
2.000 0.000 2.010 Pt
2.000 0.000 6.031 Pt
0.000 0.000 4.021 Se
2.000 2.000 0.000 Se
```

Properties
Density of states at the Fermi level in states/eV per atom: 1.276
M_tot in μB per formula unit: 0.000
ΔE_f (raw) in eV per atom: 0.572
Symmetry: No. 139

=====

No. 2
The following is a DFT calculation (PBE) of crystalline Pm3MgNi8 at its relaxed geometry.

```
Pm3MgNi8
1.0
2.532 1.462 8.333
-2.532 1.462 8.333
0.000 -2.924 8.333
Pm Mg Ni
3 1 8
Cartesian
0.000 0.000 0.000 Pm
0.000 0.000 3.188 Pm
0.000 0.000 15.432 Pm
0.000 0.000 12.387 Mg
0.000 -1.471 5.649 Ni
-1.274 0.736 5.649 Ni
-1.255 -0.725 9.885 Ni
0.000 0.000 7.766 Ni
1.274 0.736 5.649 Ni
1.255 -0.725 9.885 Ni
0.000 1.450 9.885 Ni
0.000 0.000 20.283 Ni
```

Properties
E_tot in eV/cell: -66.25
Density of states at the Fermi level in states/eV per atom: 0.777
M_tot in μB per formula unit: 0.000
Symmetry: No. 160

=====

No. 3
The following is a DFT calculation (PBE) of crystalline Zn2CrRh at its relaxed geometry.

```
Zn2CrRh
1.0
3.806 0.000 0.000
0.000 3.806 0.000
0.000 0.000 7.769
Zn Cr Rh
4 2 2
Cartesian
0.000 0.000 0.000 Zn
0.000 1.903 1.942 Zn
1.903 0.000 5.827 Zn
1.903 1.903 3.885 Zn
0.000 0.000 3.885 Cr
1.903 1.903 0.000 Cr
0.000 1.903 5.827 Rh
1.903 0.000 1.942 Rh
```

Properties
E_tot in eV/cell: -39.59
Density of states at the Fermi level in states/eV per atom: 0.700
M_tot in μB per formula unit: 3.268
Symmetry: No. 119

=====

No. 4
The following is a DFT calculation (PBE) of crystalline La2TbPuO8 at its relaxed geometry.

```
La2TbPuO8
1.0
4.125 0.000 0.000
0.000 7.532 0.000
-0.639 0.000 5.591
La Tb Pu O
2 1 1 8
Cartesian
0.000 1.836 0.000 La
0.000 5.696 0.000 La
1.743 0.000 2.795 Tb
1.743 3.766 2.795 Pu
-0.059 0.000 1.413 O
0.163 3.766 1.631 O
1.384 2.107 4.055 O
1.384 5.425 4.055 O
2.101 2.107 1.536 O
2.101 5.425 1.536 O
3.322 3.766 3.960 O
3.544 0.000 4.177 O
```

Properties
Density of states at the Fermi level in states/eV per atom: 0.088
M_tot in μB per formula unit: 1.000
ΔE_f (raw) in eV per atom: -3.048
Symmetry: No. 10

=====

No. 5
The following is a DFT calculation (PBE) of crystalline CsGeTePHC at its relaxed geometry.

```
CsGeTePHC
1.0
5.059 0.000 0.000
-0.018 5.699 0.000
-0.984 -2.725 6.583
Cs Ge Te P H C
1 1 1 1 1 1
Cartesian
0.000 0.000 0.000 Cs
2.515 3.343 2.031 Ge
-0.011 2.655 2.815 Te
1.553 0.038 5.117 P
2.527 -0.769 1.981 H
2.527 3.037 0.088 C
```

Properties
E_tot in eV/cell: -25.81
Density of states at the Fermi level in states/eV per atom: 0.214
M_tot in μB per formula unit: 0.000
Symmetry: No. 1

=====

No. 6
The following is a DFT calculation (PBE) of crystalline LaSm8Er4 at its relaxed geometry.

```
LaSm8Er4
1.0
3.681 2.125 9.225
-3.681 2.125 9.225
0.000 -4.251 9.225
La Sm Er
1 8 4
Cartesian
0.000 0.000 0.000 La
0.000 -1.916 11.070 Sm
-1.659 0.958 11.070 Sm
0.000 0.000 7.779 Sm
-1.659 -0.958 16.605 Sm
1.659 0.958 11.070 Sm
0.000 0.000 19.895 Sm
1.659 -0.958 16.605 Sm
0.000 1.916 16.605 Sm
-3.681 0.000 13.837 Er
-1.841 1.063 4.612 Er
1.841 1.063 4.612 Er
0.000 0.000 13.837 Er
```

Properties
E_tot in eV/cell: -58.70
Density of states at the Fermi level in states/eV per atom: 1.276
M_tot in μB per formula unit: 0.000
Symmetry: No. 166

=====

No. 7
The following is a DFT calculation (PBE) of crystalline Cu2TcIr at its relaxed geometry.

```
Cu2TcIr
1.0
6.833 0.000 0.000
0.000 6.833 0.000
0.000 0.000 5.017
Cu Tc Ir
8 4 4
Cartesian
1.700 1.708 0.627 Cu
1.708 5.116 1.881 Cu
1.708 5.133 4.390 Cu
1.716 1.708 3.136 Cu
5.116 5.124 3.136 Cu
5.124 1.700 4.390 Cu
5.124 1.716 1.881 Cu
5.133 5.124 0.627 Cu
0.000 0.000 2.509 Tc
0.000 3.416 3.763 Tc
3.416 0.000 1.254 Tc
3.416 3.416 0.000 Tc
0.000 0.000 0.000 Ir
0.000 3.416 1.254 Ir
3.416 0.000 3.763 Ir
3.416 3.416 2.509 Ir
```

Properties
E_tot in eV/cell: -96.92
Density of states at the Fermi level in states/eV per atom: 1.288
M_tot in μB per formula unit: 0.393
Symmetry: No. 122

=====

No. 8
The following is a DFT calculation (PBE) of crystalline ErTm4Zn4 at its relaxed geometry.

```
ErTm4Zn4
1.0
8.912 0.000 0.000
0.000 8.912 0.000
0.000 0.000 5.830
Er Tm Zn
2 8 8
Cartesian
2.228 2.228 1.457 Er
6.684 6.684 4.372 Er
0.595 5.885 0.808 Tm
1.429 8.317 3.723 Tm
3.027 5.051 3.723 Tm
3.861 7.484 0.808 Tm
5.051 1.429 5.022 Tm
5.885 3.861 2.107 Tm
7.484 0.595 2.107 Tm
8.317 3.027 5.022 Tm
0.198 5.495 3.663 Zn
1.039 8.715 0.748 Zn
3.418 4.654 0.748 Zn
4.259 7.874 3.663 Zn
4.654 1.039 2.166 Zn
5.495 4.259 5.081 Zn
7.874 0.198 5.081 Zn
8.715 3.418 2.166 Zn
```

Properties
E_tot in eV/cell: -56.15
Density of states at the Fermi level in states/eV per atom: 1.374
M_tot in μB per formula unit: 0.000
Symmetry: No. 86

=====

Question: Number 1 is which compound?
Answer: RePt2Se

=====

Question: Which formula does entry 7 have?
Answer: Cu2TcIr

=====

Question: Among the records above, which one has the highest M_tot?
Answer: Zn2CrRh